A plane-wave DFT calculation with PBE was carried out for crystalline ScSbPb3 at its relaxed geometry.

Output
E above lowest polymorph	0.3050	eV per atom
M_tot	0.00	Bohr magnetons per cell
D(E_F)	6.494	states/eV/f.u.
E_tot	-17.95	eV for the cell shown

a = 5.8105 Å, b = 5.8105 Å, c = 5.8105 Å
α = 90.00°, β = 90.00°, γ = 90.00°
Closest atoms and distances in Å follow each position.
Fractional coordinates of all 5 atoms:
Pb 0.0000 0.0000 0.5000  2 Sb 2.91
Pb 0.5000 0.0000 0.0000  2 Sb 2.91
Sb 0.0000 0.0000 0.0000  6 Pb 2.91
Sc 0.5000 0.5000 0.5000  12 Pb 4.11
Pb 0.0000 0.5000 0.0000  2 Sb 2.91